# 1
# Pm3Sm4DyTe8 PBE-GGA optimized geometry
# formation energy from raw total energies: -1.374 eV/atom
# space-group type: R-3m (166)
# DOS(E_F): 12.3 states/eV per cell
# magnetization: 0.00 μB/cell
data_Pm3Sm4DyTe8
_symmetry_space_group_name_H-M 'P 1'
_symmetry_Int_Tables_number 1
_cell_length_a 8.8800
_cell_length_b 8.8800
_cell_length_c 8.8800
_cell_angle_alpha 60.07
_cell_angle_beta 60.07
_cell_angle_gamma 60.07
loop_
_symmetry_equiv_pos_as_xyz
'x,y,z'
loop_
_atom_site_label
_atom_site_type_symbol
_atom_site_fract_x
_atom_site_fract_y
_atom_site_fract_z
Pm1 Pm 0.0000 0.5000 0.5000
Pm2 Pm 0.5000 0.0000 0.5000
Pm3 Pm 0.5000 0.5000 0.0000
Sm1 Sm 0.0000 0.0000 0.5000
Sm2 Sm 0.0000 0.5000 0.0000
Sm3 Sm 0.5000 0.0000 0.0000
Sm4 Sm 0.5000 0.5000 0.5000
Dy1 Dy 0.0000 0.0000 0.0000
Te1 Te 0.2460 0.7528 0.7528
Te2 Te 0.2472 0.2472 0.7540
Te3 Te 0.2472 0.7540 0.2472
Te4 Te 0.2494 0.2494 0.2494
Te5 Te 0.7506 0.7506 0.7506
Te6 Te 0.7528 0.2460 0.7528
Te7 Te 0.7528 0.7528 0.2460
Te8 Te 0.7540 0.2472 0.2472



# 2
# Pm2SmDy3Te6 PBE-GGA optimized geometry
# formation energy from raw total energies: -1.342 eV/atom
# space-group type: C2/m (12)
# DOS(E_F): 6.1 states/eV per cell
# magnetization: 0.00 μB/cell
data_Pm2SmDy3Te6
_symmetry_space_group_name_H-M 'P 1'
_symmetry_Int_Tables_number 1
_cell_length_a 9.8750
_cell_length_b 9.8750
_cell_length_c 8.8840
_cell_angle_alpha 103.74
_cell_angle_beta 103.74
_cell_angle_gamma 25.58
loop_
_symmetry_equiv_pos_as_xyz
'x,y,z'
loop_
_atom_site_label
_atom_site_type_symbol
_atom_site_fract_x
_atom_site_fract_y
_atom_site_fract_z
Pm1 Pm 0.1670 0.1670 0.3339
Pm2 Pm 0.8330 0.8330 0.6661
Sm1 Sm 0.5000 0.5000 0.0000
Dy1 Dy 0.1672 0.1672 0.8336
Dy2 Dy 0.5000 0.5000 0.5000
Dy3 Dy 0.8328 0.8328 0.1664
Te1 Te 0.0023 0.0023 0.7460
Te2 Te 0.3319 0.3319 0.9222
Te3 Te 0.3356 0.3356 0.4111
Te4 Te 0.6644 0.6644 0.5889
Te5 Te 0.6681 0.6681 0.0778
Te6 Te 0.9977 0.9977 0.2540



# 3
# Pm3SmDy3Te8 PBE-GGA optimized geometry
# formation energy from raw total energies: -1.412 eV/atom
# space-group type: R-3m (166)
# DOS(E_F): 6.9 states/eV per cell
# magnetization: 0.00 μB/cell
data_Pm3SmDy3Te8
_symmetry_space_group_name_H-M 'P 1'
_symmetry_Int_Tables_number 1
_cell_length_a 8.7962
_cell_length_b 8.7962
_cell_length_c 8.7962
_cell_angle_alpha 59.90
_cell_angle_beta 59.90
_cell_angle_gamma 59.90
loop_
_symmetry_equiv_pos_as_xyz
'x,y,z'
loop_
_atom_site_label
_atom_site_type_symbol
_atom_site_fract_x
_atom_site_fract_y
_atom_site_fract_z
Pm1 Pm 0.0000 0.5000 0.5000
Pm2 Pm 0.5000 0.0000 0.5000
Pm3 Pm 0.5000 0.5000 0.0000
Sm1 Sm 0.5000 0.5000 0.5000
Dy1 Dy 0.0000 0.0000 0.5000
Dy2 Dy 0.0000 0.5000 0.0000
Dy3 Dy 0.5000 0.0000 0.0000
Te1 Te 0.2370 0.7570 0.7570
Te2 Te 0.2430 0.2430 0.7630
Te3 Te 0.2430 0.7630 0.2430
Te4 Te 0.2470 0.2470 0.2470
Te5 Te 0.7530 0.7530 0.7530
Te6 Te 0.7570 0.2370 0.7570
Te7 Te 0.7570 0.7570 0.2370
Te8 Te 0.7630 0.2430 0.2430



# 4
# Pm3Sm3DyTe8 PBE-GGA optimized geometry
# formation energy from raw total energies: -1.433 eV/atom
# space-group type: R-3m (166)
# DOS(E_F): 7.2 states/eV per cell
# magnetization: 0.00 μB/cell
data_Pm3Sm3DyTe8
_symmetry_space_group_name_H-M 'P 1'
_symmetry_Int_Tables_number 1
_cell_length_a 8.8722
_cell_length_b 8.8722
_cell_length_c 8.8722
_cell_angle_alpha 59.96
_cell_angle_beta 59.96
_cell_angle_gamma 59.96
loop_
_symmetry_equiv_pos_as_xyz
'x,y,z'
loop_
_atom_site_label
_atom_site_type_symbol
_atom_site_fract_x
_atom_site_fract_y
_atom_site_fract_z
Pm1 Pm 0.0000 0.5000 0.5000
Pm2 Pm 0.5000 0.0000 0.5000
Pm3 Pm 0.5000 0.5000 0.0000
Sm1 Sm 0.0000 0.0000 0.5000
Sm2 Sm 0.0000 0.5000 0.0000
Sm3 Sm 0.5000 0.0000 0.0000
Dy1 Dy 0.5000 0.5000 0.5000
Te1 Te 0.2475 0.7513 0.7513
Te2 Te 0.2494 0.2494 0.2494
Te3 Te 0.2487 0.2487 0.7525
Te4 Te 0.2487 0.7525 0.2487
Te5 Te 0.7513 0.2475 0.7513
Te6 Te 0.7513 0.7513 0.2475
Te7 Te 0.7506 0.7506 0.7506
Te8 Te 0.7525 0.2487 0.2487



# 5
# Pm2Sm3Dy6Th PBE-GGA optimized geometry
# space-group type: C2/m (12)
# ΔE_f: 0.280 eV/f.u.
# DOS(E_F): 14.9 states/eV per cell
# magnetization: 0.00 μB/cell
data_Pm2Sm3Dy6Th
_symmetry_space_group_name_H-M 'P 1'
_symmetry_Int_Tables_number 1
_cell_length_a 6.2220
_cell_length_b 6.2220
_cell_length_c 11.8185
_cell_angle_alpha 95.03
_cell_angle_beta 95.03
_cell_angle_gamma 119.95
loop_
_symmetry_equiv_pos_as_xyz
'x,y,z'
loop_
_atom_site_label
_atom_site_type_symbol
_atom_site_fract_x
_atom_site_fract_y
_atom_site_fract_z
Pm1 Pm 0.1667 0.8333 0.0000
Pm2 Pm 0.8333 0.1667 0.0000
Sm1 Sm 0.0000 0.0000 0.5000
Sm2 Sm 0.3330 0.6670 0.5000
Sm3 Sm 0.6670 0.3330 0.5000
Dy1 Dy 0.0869 0.4165 0.7512
Dy2 Dy 0.2541 0.2541 0.2488
Dy3 Dy 0.4165 0.0869 0.7512
Dy4 Dy 0.5835 0.9131 0.2488
Dy5 Dy 0.7459 0.7459 0.7512
Dy6 Dy 0.9131 0.5835 0.2488
Th1 Th 0.5000 0.5000 0.0000



# 6
# PmSm3Dy6Th2 PBE-GGA optimized geometry
# space-group type: C2/m (12)
# ΔE_f: 0.293 eV/f.u.
# DOS(E_F): 15.9 states/eV per cell
# magnetization: 0.00 μB/cell
data_PmSm3Dy6Th2
_symmetry_space_group_name_H-M 'P 1'
_symmetry_Int_Tables_number 1
_cell_length_a 6.2144
_cell_length_b 6.2144
_cell_length_c 11.7790
_cell_angle_alpha 95.05
_cell_angle_beta 95.05
_cell_angle_gamma 119.96
loop_
_symmetry_equiv_pos_as_xyz
'x,y,z'
loop_
_atom_site_label
_atom_site_type_symbol
_atom_site_fract_x
_atom_site_fract_y
_atom_site_fract_z
Pm1 Pm 0.0000 0.0000 0.0000
Sm1 Sm 0.1662 0.8338 0.5000
Sm2 Sm 0.5000 0.5000 0.5000
Sm3 Sm 0.8338 0.1662 0.5000
Dy1 Dy 0.0826 0.4206 0.2465
Dy2 Dy 0.2556 0.2556 0.7533
Dy3 Dy 0.4206 0.0826 0.2465
Dy4 Dy 0.5794 0.9174 0.7535
Dy5 Dy 0.7444 0.7444 0.2467
Dy6 Dy 0.9174 0.5794 0.7535
Th1 Th 0.3334 0.6666 0.0000
Th2 Th 0.6666 0.3334 0.0000



# 7
# Pm6Sm3Dy2Th PBE-GGA optimized geometry
# space-group type: C2/m (12)
# ΔE_f: 0.328 eV/f.u.
# DOS(E_F): 17.1 states/eV per cell
# magnetization: 0.00 μB/cell
data_Pm6Sm3Dy2Th
_symmetry_space_group_name_H-M 'P 1'
_symmetry_Int_Tables_number 1
_cell_length_a 6.2655
_cell_length_b 6.2655
_cell_length_c 12.0413
_cell_angle_alpha 94.98
_cell_angle_beta 94.98
_cell_angle_gamma 119.89
loop_
_symmetry_equiv_pos_as_xyz
'x,y,z'
loop_
_atom_site_label
_atom_site_type_symbol
_atom_site_fract_x
_atom_site_fract_y
_atom_site_fract_z
Pm1 Pm 0.0828 0.4128 0.7472
Pm2 Pm 0.2471 0.2471 0.2529
Pm3 Pm 0.4128 0.0828 0.7472
Pm4 Pm 0.5872 0.9172 0.2528
Pm5 Pm 0.7529 0.7529 0.7471
Pm6 Pm 0.9172 0.5872 0.2528
Sm1 Sm 0.1668 0.8332 0.0000
Sm2 Sm 0.5000 0.5000 0.0000
Sm3 Sm 0.8332 0.1668 0.0000
Dy1 Dy 0.3334 0.6666 0.5000
Dy2 Dy 0.6666 0.3334 0.5000
Th1 Th 0.0000 0.0000 0.5000



# 8
# PmSm3DyTh PBE-GGA optimized geometry
# space-group type: C2/m (12)
# ΔE_f: 1.246 eV/f.u.
# DOS(E_F): 16.2 states/eV per cell
# magnetization: 0.00 μB/cell
data_PmSm3DyTh
_symmetry_space_group_name_H-M 'P 1'
_symmetry_Int_Tables_number 1
_cell_length_a 10.5997
_cell_length_b 10.5997
_cell_length_c 6.9406
_cell_angle_alpha 91.71
_cell_angle_beta 91.71
_cell_angle_gamma 31.19
loop_
_symmetry_equiv_pos_as_xyz
'x,y,z'
loop_
_atom_site_label
_atom_site_type_symbol
_atom_site_fract_x
_atom_site_fract_y
_atom_site_fract_z
Pm1 Pm 0.1445 0.1445 0.4584
Pm2 Pm 0.8555 0.8555 0.5416
Sm1 Sm 0.0197 0.0197 0.7500
Sm2 Sm 0.2801 0.2801 0.7462
Sm3 Sm 0.3412 0.3412 0.2454
Sm4 Sm 0.6588 0.6588 0.7546
Sm5 Sm 0.7199 0.7199 0.2538
Sm6 Sm 0.9803 0.9803 0.2500
Dy1 Dy 0.1493 0.1493 0.0225
Dy2 Dy 0.8507 0.8507 0.9775
Th1 Th 0.4425 0.4425 0.7853
Th2 Th 0.5575 0.5575 0.2147